Record 1
Tc2Se | PBE-GGA | optimized geometry

```
data_Tc2Se
_chemical_formula_sum 'Tc2 Se1'
_cell_length_a 2.9160
_cell_length_b 2.9160
_cell_length_c 6.2094
_cell_angle_alpha 90.00
_cell_angle_beta 90.00
_cell_angle_gamma 120.00
_symmetry_space_group_name_H-M 'P -3 m 1'
_symmetry_Int_Tables_number 164
_symmetry_space_group_name_Hall '-P 3 2"'
loop_
_atom_site_label
_atom_site_fract_x
_atom_site_fract_y
_atom_site_fract_z
Tc1 0.3333 0.6667 0.3353
Se1 0.0000 0.0000 0.0000
```

Energy relative to the elements, uncorrected   0.17 eV/atom
Energy above the most stable polymorph in this dataset   0.270 eV/atom
Uncorrected energy   -23.70 eV per cell

Record 2
Ho7AlSe5 | PBE-GGA | optimized geometry

```
data_Ho7AlSe5
_chemical_formula_sum 'Ho28 Al4 Se20'
_cell_length_a 13.396
_cell_length_b 3.992
_cell_length_c 27.596
_cell_angle_alpha 90.00
_cell_angle_beta 119.03
_cell_angle_gamma 90.00
_symmetry_space_group_name_H-M 'C 1 2/m 1'
_symmetry_Int_Tables_number 12
loop_
_symmetry_equiv_pos_as_xyz
'x,y,z'
'-x,-y,-z'
'-x,y,-z'
'x,-y,z'
'x+1/2,y+1/2,z'
'-x+1/2,-y+1/2,-z'
'-x+1/2,y+1/2,-z'
'x+1/2,-y+1/2,z'
loop_
_atom_site_label
_atom_site_fract_x
_atom_site_fract_y
_atom_site_fract_z
Ho1 0.010 0.000 0.321
Ho2 0.024 0.500 0.120
Ho3 0.103 0.500 0.464
Ho4 0.132 0.000 0.821
Ho5 0.175 0.000 0.036
Ho6 0.215 0.000 0.620
Ho7 0.227 0.000 0.250
Al1 0.060 0.500 0.250
Se1 0.000 0.000 0.500
Se2 0.000 0.500 0.000
Se3 0.090 0.500 0.641
Se4 0.151 0.000 0.928
Se5 0.193 0.000 0.141
Se6 0.204 0.000 0.428
```

Energy relative to the elements, uncorrected   -1.40 eV/atom
Uncorrected energy   -285.46 eV per cell

Record 3
La5HgPt2 | PBE-GGA | optimized geometry

```
data_La5HgPt2
_chemical_formula_sum 'La20 Hg4 Pt8'
_cell_length_a 8.236
_cell_length_b 8.236
_cell_length_c 13.860
_cell_angle_alpha 90.00
_cell_angle_beta 90.00
_cell_angle_gamma 90.00
_symmetry_space_group_name_H-M 'I 4/m c m'
_symmetry_Int_Tables_number 140
_symmetry_space_group_name_Hall '-I 4 2c'
loop_
_atom_site_label
_atom_site_fract_x
_atom_site_fract_y
_atom_site_fract_z
La1 0.000 0.000 0.000
La2 0.160 0.340 0.139
Hg1 0.000 0.000 0.250
Pt1 0.135 0.365 0.500
```

Uncorrected energy   -172.22 eV per cell

Record 4
NaEr2Co | PBE-GGA | optimized geometry

```
data_NaEr2Co
_chemical_formula_sum 'Na3 Er6 Co3'
_cell_length_a 3.7667
_cell_length_b 3.7667
_cell_length_c 30.5834
_cell_angle_alpha 90.00
_cell_angle_beta 90.00
_cell_angle_gamma 120.00
_symmetry_space_group_name_H-M 'R -3 m'
_symmetry_Int_Tables_number 166
_symmetry_space_group_name_Hall '-R 3 2"'
loop_
_atom_site_label
_atom_site_fract_x
_atom_site_fract_y
_atom_site_fract_z
Na1 0.0000 0.0000 0.0000
Er1 0.0000 0.0000 0.1196
Co1 0.0000 0.0000 0.5000
```

Energy above the most stable polymorph in this dataset   0.081 eV/atom
Uncorrected energy   -52.31 eV per cell

Record 5
ScGaCl3 | PBE-GGA | optimized geometry

```
data_ScGaCl3
_chemical_formula_sum 'Sc1 Ga1 Cl3'
_cell_length_a 5.078
_cell_length_b 5.078
_cell_length_c 5.078
_cell_angle_alpha 90.00
_cell_angle_beta 90.00
_cell_angle_gamma 90.00
_symmetry_space_group_name_H-M 'P m -3 m'
_symmetry_Int_Tables_number 221
_symmetry_space_group_name_Hall '-P 4 2 3'
loop_
_atom_site_label
_atom_site_fract_x
_atom_site_fract_y
_atom_site_fract_z
Sc1 0.000 0.000 0.000
Ga1 0.500 0.500 0.500
Cl1 0.000 0.000 0.500
```

Energy relative to the elements, uncorrected   -1.31 eV/atom
Energy above the most stable polymorph in this dataset   0.000 eV/atom
Uncorrected energy   -21.44 eV per cell

Record 6
Dy2Zn2InPd5 | PBE-GGA | optimized geometry

```
data_Dy2Zn2InPd5
_chemical_formula_sum 'Dy4 Zn4 In2 Pd10'
_cell_length_a 9.757
_cell_length_b 9.757
_cell_length_c 3.810
_cell_angle_alpha 90.00
_cell_angle_beta 90.00
_cell_angle_gamma 90.00
_symmetry_space_group_name_H-M 'P 4/m b m'
_symmetry_Int_Tables_number 127
_symmetry_space_group_name_Hall '-P 4 2ab'
loop_
_atom_site_label
_atom_site_fract_x
_atom_site_fract_y
_atom_site_fract_z
Dy1 0.176 0.324 0.000
Zn1 0.120 0.620 0.000
In1 0.000 0.000 0.000
Pd1 0.000 0.500 0.500
Pd2 0.068 0.792 0.500
```

Uncorrected energy   -95.15 eV per cell

Record 7
TlTeSeO6 | PBE-GGA | optimized geometry

```
data_TlTeSeO6
_chemical_formula_sum 'Tl1 Te1 Se1 O6'
_cell_length_a 5.2463
_cell_length_b 5.2463
_cell_length_c 6.3489
_cell_angle_alpha 90.00
_cell_angle_beta 90.00
_cell_angle_gamma 120.00
_symmetry_space_group_name_H-M 'P 3 1 2'
_symmetry_Int_Tables_number 149
loop_
_symmetry_equiv_pos_as_xyz
'x,y,z'
'-y,x-y,z'
'-x+y,-x,z'
'-y,-x,-z'
'-x+y,y,-z'
'x,x-y,-z'
loop_
_atom_site_label
_atom_site_fract_x
_atom_site_fract_y
_atom_site_fract_z
Tl1 0.0000 0.0000 0.0000
Te1 0.6667 0.3333 0.5000
Se1 0.3333 0.6667 0.5000
O1 0.3853 0.0005 0.6755
```

Energy relative to the elements, uncorrected   -0.70 eV/atom
Uncorrected energy   -45.04 eV per cell

Record 8
LiU2Pt8 | PBE-GGA | optimized geometry

```
data_LiU2Pt8
_chemical_formula_sum 'Li2 U4 Pt16'
_cell_length_a 7.048
_cell_length_b 14.078
_cell_length_c 4.317
_cell_angle_alpha 90.00
_cell_angle_beta 111.59
_cell_angle_gamma 90.00
_symmetry_space_group_name_H-M 'C 1 2/m 1'
_symmetry_Int_Tables_number 12
loop_
_symmetry_equiv_pos_as_xyz
'x,y,z'
'-x,-y,-z'
'-x,y,-z'
'x,-y,z'
'x+1/2,y+1/2,z'
'-x+1/2,-y+1/2,-z'
'-x+1/2,y+1/2,-z'
'x+1/2,-y+1/2,z'
loop_
_atom_site_label
_atom_site_fract_x
_atom_site_fract_y
_atom_site_fract_z
Li1 0.000 0.000 0.000
U1 0.000 0.301 0.500
Pt1 0.000 0.176 0.000
Pt2 0.119 0.500 0.809
Pt3 0.216 0.103 0.626
```

Energy above the most stable polymorph in this dataset   0.123 eV/atom
Uncorrected energy   -155.89 eV per cell